(1)
KYHf | PBE | relaxed

Geometry as extended XYZ:
```
6
Lattice="6.051 0.000 0.000 -3.025 5.240 0.000 0.000 0.000 10.976" Properties=species:S:1:pos:R:3 pbc="T T T"
K 0.000 3.493 2.744
K 3.025 1.747 8.232
Y 0.000 0.000 2.744
Y 0.000 0.000 8.232
Hf 0.000 0.000 0.000
Hf 0.000 0.000 5.488
```

Properties
Energy relative to the lowest polymorph listed for this composition   1843 meV per atom
DFT formation energy   2.155 eV/atom
DFT total energy   -3.683 eV/atom

---

(2)
La2V2In | PBE | relaxed

Geometry as extended XYZ:
```
10
Lattice="7.302 0.000 0.000 0.000 7.302 0.000 0.000 0.000 4.695" Properties=species:S:1:pos:R:3 pbc="T T T"
La 1.413 2.238 0.000
La 2.238 5.889 0.000
La 5.064 1.413 0.000
La 5.889 5.064 0.000
V 0.692 4.343 2.347
V 2.959 0.692 2.347
V 4.343 6.610 2.347
V 6.610 2.959 2.347
In 0.000 0.000 2.347
In 3.651 3.651 2.347
```

Properties
DFT formation energy   0.166 eV/atom
DFT total energy   -6.001 eV/atom

---

(3)
LiZnIn2 | PBE | relaxed

Geometry as extended XYZ:
```
4
Lattice="0.000 3.505 3.505 3.505 0.000 3.505 3.505 3.505 0.000" Properties=species:S:1:pos:R:3 pbc="T T T"
Li 0.000 0.000 0.000
Zn 5.258 5.258 5.258
In 1.753 1.753 1.753
In 3.505 3.505 3.505
```

Properties
DFT formation energy   -0.042 eV/atom
DFT total energy   -2.208 eV/atom

---

(4)
Pu3PdPt2 | PBE | relaxed

Geometry as extended XYZ:
```
6
Lattice="3.502 0.000 0.000 0.000 3.502 0.000 0.000 0.000 10.615" Properties=species:S:1:pos:R:3 pbc="T T T"
Pu 0.000 0.000 0.000
Pu 0.000 0.000 3.495
Pu 0.000 0.000 7.120
Pd 1.751 1.751 5.307
Pt 1.751 1.751 1.777
Pt 1.751 1.751 8.838
```

Properties
DFT formation energy   -0.631 eV/atom
DFT total energy   -10.676 eV/atom

---

(5)
TlAg2GeI6 | PBE | relaxed

Geometry as extended XYZ:
```
20
Lattice="7.572 -6.789 0.000 7.572 6.789 0.000 -1.595 0.000 7.792" Properties=species:S:1:pos:R:3 pbc="T T T"
Tl 6.375 5.280 5.844
Tl 7.173 -5.280 1.948
Ag 5.041 1.140 6.452
Ag 7.709 1.140 5.235
Ag 5.839 -1.140 2.557
Ag 8.507 -1.140 1.339
Ge 7.173 3.688 1.948
Ge 6.375 -3.688 5.844
I 0.731 1.180 5.032
I 3.907 3.609 7.171
I 1.529 -1.180 1.136
I 5.162 1.401 3.563
I 8.844 3.609 4.516
I 4.365 -1.401 7.459
I 9.183 1.401 0.332
I 4.704 -3.609 3.276
I 8.386 -1.401 4.228
I 12.019 1.180 6.655
I 9.642 -3.609 0.620
I 12.817 -1.180 2.760
```

Properties
DFT total energy   -2.469 eV/atom
Formation energy from raw total energies   -2.7 eV per formula unit

---

(6)
K2CuGeI | PBE | relaxed

Geometry as extended XYZ:
```
5
Lattice="6.592 0.000 0.000 0.000 6.592 0.000 0.000 0.000 4.469" Properties=species:S:1:pos:R:3 pbc="T T T"
K 0.000 3.296 0.000
K 3.296 0.000 0.000
Cu 0.000 0.000 2.234
Ge 0.000 0.000 0.000
I 3.296 3.296 2.234
```

Properties
DFT total energy   -2.780 eV/atom
Formation energy from raw total energies   -1.4 eV per formula unit

---

(7)
CeDyErTm3 | PBE | relaxed

Geometry as extended XYZ:
```
12
Lattice="2.484 -7.426 0.000 2.484 7.426 0.000 0.000 0.000 9.914" Properties=species:S:1:pos:R:3 pbc="T T T"
Ce 2.484 -7.424 2.478
Ce 2.484 7.424 7.435
Dy 2.484 0.000 0.000
Dy 2.484 0.000 4.957
Er 2.484 2.489 7.435
Er 2.484 -2.489 2.478
Tm 2.484 4.970 0.001
Tm 2.484 4.970 4.956
Tm 2.484 2.487 2.478
Tm 2.484 -2.487 7.435
Tm 2.484 -4.970 9.913
Tm 2.484 -4.970 4.958
```

Properties
DFT formation energy   0.056 eV/atom
DFT total energy   -4.696 eV/atom

---

(8)
Ac2PrCd2In2 | PBE | relaxed

Geometry as extended XYZ:
```
7
Lattice="2.537 1.465 9.985 -2.537 1.465 9.985 0.000 -2.929 9.985" Properties=species:S:1:pos:R:3 pbc="T T T"
Ac 0.000 0.000 3.761
Ac 0.000 0.000 26.194
Pr 0.000 0.000 0.000
Cd 0.000 0.000 11.628
Cd 0.000 0.000 18.326
In 0.000 0.000 8.044
In 0.000 0.000 21.911
```

Properties
DFT formation energy   -0.287 eV/atom
DFT total energy   -3.187 eV/atom

---

(9)
Pm2TeP | PBE | relaxed

Geometry as extended XYZ:
```
8
Lattice="4.216 0.000 0.000 -2.108 3.651 0.000 0.000 0.000 14.676" Properties=species:S:1:pos:R:3 pbc="T T T"
Pm 0.000 2.434 1.549
Pm 0.000 2.434 5.789
Pm 2.108 1.217 8.887
Pm 2.108 1.217 13.127
Te 0.000 2.434 11.007
Te 2.108 1.217 3.669
P 0.000 0.000 0.000
P 0.000 0.000 7.338
```

Properties
Energy relative to the lowest polymorph listed for this composition   0 meV per atom
DFT total energy   -6.103 eV/atom
Formation energy from raw total energies   -6.4 eV per formula unit

---

(10)
Hf2ScB6 | PBE | relaxed

Geometry as extended XYZ:
```
9
Lattice="5.445 0.000 0.000 -2.722 4.715 0.000 0.000 0.000 3.496" Properties=species:S:1:pos:R:3 pbc="T T T"
Hf 0.000 3.144 0.000
Hf 2.722 1.572 0.000
Sc 0.000 0.000 0.000
B -0.907 1.570 1.748
B -1.816 3.145 1.748
B 1.813 0.000 1.748
B 0.907 1.570 1.748
B 3.632 0.000 1.748
B 1.816 3.145 1.748
```

Properties
Energy relative to the lowest polymorph listed for this composition   0 meV per atom
DFT formation energy   -0.985 eV/atom
DFT total energy   -8.352 eV/atom

---

(11)
NaLiCuI3 | PBE | relaxed

Geometry as extended XYZ:
```
12
Lattice="8.794 0.000 0.000 0.000 4.234 0.000 -2.131 0.000 9.963" Properties=species:S:1:pos:R:3 pbc="T T T"
Na 1.127 1.058 2.215
Na 5.536 3.175 7.748
Li 1.216 3.175 8.684
Li 5.447 1.058 1.280
Cu -0.638 1.058 5.676
Cu 7.302 3.175 4.287
I -0.915 1.058 8.361
I 0.968 3.175 5.214
I 3.416 3.175 1.577
I 3.247 1.058 8.387
I 5.695 1.058 4.750
I 7.578 3.175 1.603
```

Properties
DFT total energy   -2.837 eV/atom
Formation energy from raw total energies   -5.0 eV per formula unit

---

(12)
ZrCrIn3 | PBE | relaxed

Geometry as extended XYZ:
```
5
Lattice="5.456 0.000 0.000 0.000 5.456 0.000 0.000 0.000 5.456" Properties=species:S:1:pos:R:3 pbc="T T T"
Zr 0.000 0.000 0.000
Cr 2.728 2.728 2.728
In 0.000 0.000 2.728
In 0.000 2.728 0.000
In 2.728 0.000 0.000
```

Properties
Energy relative to the lowest polymorph listed for this composition   826 meV per atom
DFT formation energy   1.476 eV/atom
DFT total energy   -3.801 eV/atom

---

(13)
Zn2CdTc | PBE | relaxed

Geometry as extended XYZ:
```
4
Lattice="1.416 0.817 9.388 -1.416 0.817 9.388 0.000 -1.635 9.388" Properties=species:S:1:pos:R:3 pbc="T T T"
Zn 0.000 0.000 0.000
Zn 0.000 0.000 7.155
Cd 0.000 0.000 13.993
Tc 0.000 0.000 20.913
```

Properties
DFT formation energy   0.250 eV/atom
DFT total energy   -3.207 eV/atom

---

(14)
Y3ZrBi | PBE | relaxed

Geometry as extended XYZ:
```
5
Lattice="5.529 0.000 0.000 0.000 5.529 0.000 0.000 0.000 5.529" Properties=species:S:1:pos:R:3 pbc="T T T"
Y 0.000 0.000 2.764
Y 0.000 2.764 0.000
Y 2.764 0.000 0.000
Zr 0.000 0.000 0.000
Bi 2.764 2.764 2.764
```

Properties
Energy relative to the lowest polymorph listed for this composition   0 meV per atom
DFT formation energy   0.462 eV/atom
DFT total energy   -5.903 eV/atom

---

(15)
TbHo2Lu | PBE | relaxed

Geometry as extended XYZ:
```
4
Lattice="1.757 1.014 11.429 -1.757 1.014 11.429 0.000 -2.028 11.429" Properties=species:S:1:pos:R:3 pbc="T T T"
Tb 0.000 0.000 0.000
Ho 0.000 0.000 8.539
Ho 0.000 0.000 25.747
Lu 0.000 0.000 17.143
```

Properties
Energy relative to the lowest polymorph listed for this composition   0 meV per atom
DFT formation energy   0.025 eV/atom
DFT total energy   -4.551 eV/atom

---

(16)
TmGa3CuPt | PBE | relaxed

Geometry as extended XYZ:
```
12
Lattice="2.965 -6.130 0.000 2.965 6.130 0.000 0.000 0.000 5.895" Properties=species:S:1:pos:R:3 pbc="T T T"
Tm 2.965 3.537 4.421
Tm 2.965 -3.537 1.474
Ga 1.249 0.000 0.000
Ga 1.249 0.000 2.947
Ga 2.965 1.733 1.474
Ga 2.965 -1.733 4.421
Ga 4.682 0.000 0.000
Ga 4.682 0.000 2.947
Cu 2.965 0.878 4.421
Cu 2.965 -0.878 1.474
Pt 2.965 4.236 1.474
Pt 2.965 -4.236 4.421
```

Properties
DFT formation energy   -0.394 eV/atom
DFT total energy   -4.342 eV/atom

---

(17)
CsBSb2 | PBE | relaxed

Geometry as extended XYZ:
```
8
Lattice="-3.210 3.210 6.812 3.210 -3.210 6.812 3.210 3.210 -6.812" Properties=species:S:1:pos:R:3 pbc="T T T"
Cs 0.000 0.000 0.000
Cs 0.000 3.210 3.406
B 3.210 0.000 3.406
B 0.000 0.000 6.812
Sb 1.605 -0.367 5.109
Sb 2.843 1.605 1.703
Sb 1.605 3.577 -1.703
Sb 0.367 1.605 8.515
```

Properties
DFT total energy   -3.541 eV/atom
Formation energy from raw total energies   1.6 eV per formula unit

---

(18)
TiBiPb2 | PBE | relaxed

Geometry as extended XYZ:
```
8
Lattice="-2.210 2.210 11.595 2.210 -2.210 11.595 2.210 2.210 -11.595" Properties=species:S:1:pos:R:3 pbc="T T T"
Ti 0.000 0.000 0.000
Ti 0.000 2.210 5.797
Bi 2.210 0.000 5.797
Bi 0.000 0.000 11.595
Pb 3.315 1.082 -2.899
Pb 1.082 1.105 2.899
Pb -1.105 1.128 8.696
Pb 1.128 1.105 14.494
```

Properties
DFT formation energy   0.290 eV/atom
DFT total energy   -4.509 eV/atom

---

(19)
Rb2IO5 | PBE | relaxed

Geometry as extended XYZ:
```
16
Lattice="6.858 -3.284 0.000 6.858 3.284 0.000 -4.079 0.000 6.480" Properties=species:S:1:pos:R:3 pbc="T T T"
Rb 4.818 3.250 3.240
Rb 2.843 0.047 2.687
Rb 0.803 -0.047 5.927
Rb 6.858 -3.250 0.000
I 7.258 0.001 2.969
I 5.219 -0.001 6.209
O 6.971 1.680 2.239
O 3.646 0.628 5.425
O 9.587 1.676 0.460
O 6.239 0.709 4.589
O 5.685 -0.628 2.185
O 8.831 0.634 3.751
O 8.278 -0.709 1.349
O 4.932 -1.680 5.480
O 10.871 -0.634 0.511
O 7.548 -1.676 3.700
```

Properties
Energy relative to the lowest polymorph listed for this composition   0 meV per atom
DFT total energy   -4.347 eV/atom
Formation energy from raw total energies   -6.5 eV per formula unit

---

(20)
La4IrPtCl2 | PBE | relaxed

Geometry as extended XYZ:
```
8
Lattice="7.338 0.000 0.000 0.000 4.224 0.000 -2.467 0.000 7.614" Properties=species:S:1:pos:R:3 pbc="T T T"
La 1.179 0.000 1.562
La -0.070 2.112 6.052
La 4.941 2.112 1.563
La 3.692 0.000 6.052
Ir 0.000 2.112 0.000
Pt 3.669 0.000 0.000
Cl -1.233 0.000 3.807
Cl 2.435 2.112 3.807
```

Properties
DFT total energy   -6.186 eV/atom
Formation energy from raw total energies   -11.2 eV per formula unit

---

(21)
NaTi2In2 | PBE | relaxed

Geometry as extended XYZ:
```
10
Lattice="8.591 0.000 0.000 0.000 8.591 0.000 0.000 0.000 3.000" Properties=species:S:1:pos:R:3 pbc="T T T"
Na 0.000 0.000 0.000
Na 4.295 4.295 0.000
Ti 0.941 3.354 0.000
Ti 3.354 7.649 0.000
Ti 5.237 0.941 0.000
Ti 7.649 5.237 0.000
In 1.580 5.875 1.500
In 2.716 1.580 1.500
In 5.875 7.011 1.500
In 7.011 2.716 1.500
```

Properties
Energy relative to the lowest polymorph listed for this composition   0 meV per atom
DFT formation energy   0.014 eV/atom
DFT total energy   -4.503 eV/atom

---

(22)
SmEuPd2 | PBE | relaxed

Geometry as extended XYZ:
```
4
Lattice="2.094 1.209 6.947 -2.094 1.209 6.947 0.000 -2.418 6.947" Properties=species:S:1:pos:R:3 pbc="T T T"
Sm 0.000 0.000 0.000
Eu 0.000 0.000 10.421
Pd 0.000 0.000 5.305
Pd 0.000 0.000 15.536
```

Properties
Energy relative to the lowest polymorph listed for this composition   133 meV per atom
DFT formation energy   -0.619 eV/atom
DFT total energy   -6.964 eV/atom

---

(23)
Th6TcIr2S3 | PBE | relaxed

Geometry as extended XYZ:
```
12
Lattice="9.251 -2.041 0.000 9.251 2.041 0.000 -2.513 0.000 8.184" Properties=species:S:1:pos:R:3 pbc="T T T"
Th -0.510 0.000 1.909
Th 5.013 0.000 3.520
Th 4.027 0.000 7.432
Th 11.961 0.000 0.751
Th 10.975 0.000 4.664
Th 16.498 0.000 6.275
Tc 9.251 0.000 0.000
Ir 2.263 0.000 2.738
Ir 13.725 0.000 5.445
S 0.990 0.000 6.807
S 7.994 0.000 4.092
S 14.998 0.000 1.377
```

Properties
DFT total energy   -8.282 eV/atom
Formation energy from raw total energies   -14.4 eV per formula unit

---

(24)
KNb3Cr | PBE | relaxed

Geometry as extended XYZ:
```
5
Lattice="4.636 0.000 0.000 0.000 4.636 0.000 0.000 0.000 4.636" Properties=species:S:1:pos:R:3 pbc="T T T"
K 0.000 0.000 0.000
Nb 0.000 0.000 2.318
Nb 0.000 2.318 0.000
Nb 2.318 0.000 0.000
Cr 2.318 2.318 2.318
```

Properties
Energy relative to the lowest polymorph listed for this composition   1486 meV per atom
DFT formation energy   2.726 eV/atom
DFT total energy   -5.460 eV/atom